# 1
First-principles (PBE) data for a relaxed TbAlZnPt3 crystal, as listed in Alexandria via LeMat-Bulk.

The calculation puts the magnetization at 0.000 μB/cell. The value obtained for the final energy is -128.3 eV/cell. The crystal system is orthorhombic. The calculation puts the energy relative to the elements at -69.3 kJ per mole of atoms.

The structure in CIF format:
```
data_TbAlZnPt3
_cell_length_a 6.8014
_cell_length_b 11.8364
_cell_length_c 5.6630
_cell_angle_alpha 90.00
_cell_angle_beta 90.00
_cell_angle_gamma 90.00
_symmetry_space_group_name_H-M 'C m c m'
_symmetry_Int_Tables_number 63
_symmetry_space_group_name_Hall '-C 2c 2'
loop_
_atom_site_label
_atom_site_fract_x
_atom_site_fract_y
_atom_site_fract_z
Tb1 0.0000 0.1991 0.2500
Al1 0.0000 0.1276 0.7500
Zn1 0.0000 0.4457 0.2500
Pt1 0.0000 0.3284 0.7500
Pt2 0.2082 0.0000 0.0000
```

---

# 2
First-principles (PBE) data for a relaxed AcAu3F12 crystal, as listed in Alexandria via LeMat-Bulk.

The calculation puts the magnetization at 1.718 μB/cell. The value obtained for the final energy is -392.0 eV/cell. The value obtained for the formation energy without anion corrections is -1809.0 meV/atom. The crystal system is trigonal.

The structure in CIF format:
```
data_AcAu3F12
_cell_length_a 10.6434
_cell_length_b 10.6434
_cell_length_c 16.5377
_cell_angle_alpha 90.00
_cell_angle_beta 90.00
_cell_angle_gamma 120.00
_symmetry_space_group_name_H-M 'R 3 c'
_symmetry_Int_Tables_number 161
_symmetry_space_group_name_Hall 'R 3 -2"c'
loop_
_atom_site_label
_atom_site_fract_x
_atom_site_fract_y
_atom_site_fract_z
Ac1 0.0000 0.0000 0.0000
Au1 0.0044 0.3523 0.0275
F1 0.0578 0.5263 0.2008
F2 0.0640 0.1745 0.3775
F3 0.1887 0.3822 0.6821
F4 0.1961 0.0823 0.6826
```

---

# 3
First-principles (PBE) data for a relaxed TiRuO2 crystal, as listed in Alexandria via LeMat-Bulk.

The calculation puts the magnetization at 1.884 μB/cell. For the offset from the most stable computed form, the calculation gives 0.00 kcal/mol of atoms. The value obtained for the final energy is -101.9 eV/cell. The value obtained for the formation energy without anion corrections is -1716.1 meV/atom. The crystal system is trigonal.

The structure in CIF format:
```
data_TiRuO2
_cell_length_a 2.8589
_cell_length_b 2.8589
_cell_length_c 19.0216
_cell_angle_alpha 90.00
_cell_angle_beta 90.00
_cell_angle_gamma 120.00
_symmetry_space_group_name_H-M 'R -3 m'
_symmetry_Int_Tables_number 166
_symmetry_space_group_name_Hall '-R 3 2"'
loop_
_atom_site_label
_atom_site_fract_x
_atom_site_fract_y
_atom_site_fract_z
Ti1 0.0000 0.0000 0.0000
Ru1 0.0000 0.0000 0.5000
O1 0.0000 0.0000 0.3927
```

---

# 4
First-principles (PBE) data for a relaxed Li3Ga2Pd3 crystal, as listed in Alexandria via LeMat-Bulk.

The calculation puts the magnetization at 0.000 μB/cell. For the offset from the most stable computed form, the calculation gives 0.00 kcal/mol of atoms. The value obtained for the final energy is -32.0 eV/cell. The crystal system is orthorhombic. The calculation puts the energy relative to the elements at -56.0 kJ per mole of atoms.

The structure in CIF format:
```
data_Li3Ga2Pd3
_cell_length_a 4.3393
_cell_length_b 4.4288
_cell_length_c 5.9217
_cell_angle_alpha 90.00
_cell_angle_beta 90.00
_cell_angle_gamma 90.00
_symmetry_space_group_name_H-M 'P m m m'
_symmetry_Int_Tables_number 47
loop_
_symmetry_equiv_pos_as_xyz
'x,y,z'
'-x,-y,-z'
'-x,-y,z'
'x,y,-z'
'x,-y,-z'
'-x,y,z'
'-x,y,-z'
'x,-y,z'
loop_
_atom_site_label
_atom_site_fract_x
_atom_site_fract_y
_atom_site_fract_z
Li1 0.0000 0.0000 0.0000
Li2 0.5000 0.0000 0.2614
Ga1 0.0000 0.5000 0.2539
Pd1 0.0000 0.0000 0.5000
Pd2 0.5000 0.5000 0.0000
Pd3 0.5000 0.5000 0.5000
```

---

What did the second record say?
First-principles (PBE) data for a relaxed AcAu3F12 crystal, as listed in Alexandria via LeMat-Bulk.

The calculation puts the magnetization at 1.718 μB/cell. The value obtained for the final energy is -392.0 eV/cell. The value obtained for the formation energy without anion corrections is -1809.0 meV/atom. The crystal system is trigonal.

The structure in CIF format:
```
data_AcAu3F12
_cell_length_a 10.6434
_cell_length_b 10.6434
_cell_length_c 16.5377
_cell_angle_alpha 90.00
_cell_angle_beta 90.00
_cell_angle_gamma 120.00
_symmetry_space_group_name_H-M 'R 3 c'
_symmetry_Int_Tables_number 161
_symmetry_space_group_name_Hall 'R 3 -2"c'
loop_
_atom_site_label
_atom_site_fract_x
_atom_site_fract_y
_atom_site_fract_z
Ac1 0.0000 0.0000 0.0000
Au1 0.0044 0.3523 0.0275
F1 0.0578 0.5263 0.2008
F2 0.0640 0.1745 0.3775
F3 0.1887 0.3822 0.6821
F4 0.1961 0.0823 0.6826
```